Density functional theory data (PBE) for a geometry-optimized PmPaIr structure.

Output
- ΔE to the lowest computed polymorph: 0.123 eV/atom
- Crystal system: monoclinic
- VASP energy: -8.123 eV/atom
- Space group: C2/m (12)
- N(E_F): 1.558 states/eV/atom
- DFT formation energy: -0.420 eV/atom

Unit cell a=6.155 b=4.030 c=7.170 alpha=106.32 beta=68.88 gamma=90.00
Last column: magnetic moment on the atom in μB.
Fractional coordinates of all 6 atoms:
1 Pm 0.281 0.860 0.721  0.01
2 Pm 0.719 0.140 0.279  0.01
3 Pa 0.283 0.588 0.175  0.09
4 Pa 0.717 0.412 0.825  0.09
5 Ir 0.821 0.773 0.546  0.00
6 Ir 0.179 0.227 0.454  0.00